[1]
Density functional theory data (PBEsol) for a relaxed structure of NbRh3S.

The space group is Pm-3m (No. 221) and the conventional cell measures 4.648, 4.648 and 4.648 Å, with angles of 90.00, 90.00 and 90.00 degrees. The inequivalent atoms are Nb at (0.000, 0.000, 0.000), Rh at (0.000, 0.000, 0.500) and S at (0.500, 0.500, 0.500).

For the raw formation energy, the calculation gives 138 kJ per mole of atoms. The size of the total moment is 0.00 Bohr magnetons per cell.

=====

[2]
Density functional theory data (PBEsol) for a relaxed structure of PmTmTl2.

The space group is Fm-3m (No. 225) and the conventional cell measures 7.491, 7.491 and 7.491 Å, with angles of 90.00, 90.00 and 90.00 degrees. The inequivalent atoms are Pm at (0.000, 0.000, 0.000), Tm at (0.000, 0.000, 0.500) and Tl at (0.250, 0.250, 0.250).

The value obtained for the energy of formation is -0.412 eV/atom. The size of the total moment is 0.00 Bohr magnetons per cell.

=====

[3]
Density functional theory data (PBEsol) for a relaxed structure of AlZnSCl2.

The space group is P4/mmm (No. 123) and the conventional cell measures 4.559, 4.559 and 4.771 Å, with angles of 90.00, 90.00 and 90.00 degrees. The inequivalent atoms are Al at (0.000, 0.000, 0.000), Zn at (0.500, 0.500, 0.500), S at (0.000, 0.000, 0.500) and Cl at (0.000, 0.500, 0.000).

The offset from the most stable computed form comes out at 0.000 eV/atom. For the raw formation energy, the calculation gives -50 kJ per mole of atoms. The size of the total moment is 0.00 Bohr magnetons per cell.

=====

[4]
Density functional theory data (PBEsol) for a relaxed structure of Na5CoSO2.

The space group is P4/mmm (No. 123) and the conventional cell measures 4.576, 4.576 and 7.937 Å, with angles of 90.00, 90.00 and 90.00 degrees. The inequivalent atoms are Na at (0.000, 0.000, 0.000), Na at (0.000, 0.500, 0.252), Co at (0.000, 0.000, 0.500), S at (0.500, 0.500, 0.000) and O at (0.000, 0.000, 0.282).

For the raw formation energy, the calculation gives -102 kJ per mole of atoms. The size of the total moment is 2.00 Bohr magnetons per cell.

=====

[5]
Density functional theory data (PBEsol) for a relaxed structure of Ba3TeS.

The space group is Pm-3m (No. 221) and the conventional cell measures 5.894, 5.894 and 5.894 Å, with angles of 90.00, 90.00 and 90.00 degrees. The inequivalent atoms are Ba at (0.000, 0.000, 0.500), Te at (0.500, 0.500, 0.500) and S at (0.000, 0.000, 0.000).

For the raw formation energy, the calculation gives -114 kJ per mole of atoms. The size of the total moment is 0.00 Bohr magnetons per cell.

=====

[6]
Density functional theory data (PBEsol) for a relaxed structure of LaNb3N.

The space group is Pm-3m (No. 221) and the conventional cell measures 4.430, 4.430 and 4.430 Å, with angles of 90.00, 90.00 and 90.00 degrees. The inequivalent atoms are La at (0.000, 0.000, 0.000), Nb at (0.000, 0.500, 0.500) and N at (0.500, 0.500, 0.500).

For the raw formation energy, the calculation gives -16 kJ per mole of atoms. The size of the total moment is 0.00 Bohr magnetons per cell.